1.
# LaPCl2

Crystalline LaPCl2 at its relaxed geometry (PBE, Alexandria via LeMat-Bulk).

Cell: 5.065 5.065 5.065 Å, 60.00 60.00 60.00°
Element x y z (fractional)
Cl1 0.250 0.250 0.250
Cl2 0.750 0.750 0.750
La1 0.500 0.500 0.500
P1 0.000 0.000 0.000

Results
Total magnetization = 0.50 μB/atom
Distance to the lowest polymorph of the same formula = 0.489 eV/atom
Symmetry = Fm-3m (225)

=====

2.
# LaPCl2

Crystalline LaPCl2 at its relaxed geometry (PBE, Alexandria via LeMat-Bulk).

Cell: 9.387 9.387 9.387 Å, 22.10 22.10 22.10°
Element x y z (fractional)
P1 0.000 0.000 0.000
La1 0.500 0.500 0.500
Cl1 0.092 0.092 0.092
Cl2 0.908 0.908 0.908

Results
Total magnetization = 0.00 μB/atom
Distance to the lowest polymorph of the same formula = 0.744 eV/atom
Symmetry = R-3m (166)

=====

3.
# La7P4Cl4

Crystalline La7P4Cl4 at its relaxed geometry (PBE, Alexandria via LeMat-Bulk).

Cell: 7.475 11.188 11.188 Å, 83.59 70.48 70.48°
Element x y z (fractional)
P1 0.599 0.500 0.803
P2 0.401 0.197 0.500
P3 0.099 0.803 0.500
P4 0.599 0.803 0.500
P5 0.401 0.500 0.197
P6 0.901 0.500 0.197
P7 0.099 0.500 0.803
P8 0.901 0.197 0.500
La1 0.124 0.376 0.376
La2 0.500 0.376 0.624
La3 0.283 0.717 0.717
La4 0.500 0.624 0.376
La5 0.876 0.624 0.624
La6 0.753 0.000 0.000
La7 0.000 0.283 0.717
La8 0.708 0.000 0.585
La9 0.000 0.717 0.283
La10 0.717 0.283 0.283
La11 0.292 0.000 0.415
La12 0.292 0.415 0.000
La13 0.247 0.000 0.000
La14 0.708 0.585 0.000
Cl1 0.500 0.841 0.159
Cl2 0.341 0.159 0.159
Cl3 0.888 0.000 0.224
Cl4 0.659 0.841 0.841
Cl5 0.500 0.159 0.841
Cl6 0.112 0.776 0.000
Cl7 0.888 0.224 0.000
Cl8 0.112 0.000 0.776

Results
Total magnetization = 0.14 μB/atom
Symmetry = I4/mmm (139)
E_tot = -5.83 eV/atom

=====

4.
# La2PCl

Crystalline La2PCl at its relaxed geometry (PBE, Alexandria via LeMat-Bulk).

Cell: 5.126 5.126 5.126 Å, 60.00 60.00 60.00°
Element x y z (fractional)
La1 0.750 0.750 0.750
La2 0.250 0.250 0.250
Cl1 0.500 0.500 0.500
P1 0.000 0.000 0.000

Results
Total magnetization = 0.00 μB/atom
Symmetry = Fm-3m (225)
E_tot = -5.74 eV/atom

=====

5.
# La4PCl5

Crystalline La4PCl5 at its relaxed geometry (PBE, Alexandria via LeMat-Bulk).

Cell: 4.160 8.432 9.422 Å, 104.75 102.75 90.00°
Element x y z (fractional)
La1 0.001 0.770 0.001
La2 0.999 0.230 0.999
La3 0.656 0.096 0.312
La4 0.344 0.904 0.688
Cl1 0.166 0.339 0.332
Cl2 0.834 0.661 0.668
Cl3 0.829 0.146 0.658
Cl4 0.500 0.500 0.000
Cl5 0.171 0.854 0.342
P1 0.500 0.000 0.000

Results
Total magnetization = 0.00 μB/atom
Symmetry = C2/m (12)
E_tot = -5.44 eV/atom

=====

6.
# LaPCl2

Crystalline LaPCl2 at its relaxed geometry (PBE, Alexandria via LeMat-Bulk).

Cell: 11.314 11.314 11.314 Å, 18.89 18.89 18.89°
Element x y z (fractional)
La1 0.000 0.000 0.000
Cl1 0.923 0.923 0.923
Cl2 0.077 0.077 0.077
P1 0.500 0.500 0.500

Results
Total magnetization = 0.32 μB/atom
Distance to the lowest polymorph of the same formula = 1.362 eV/atom
Symmetry = R-3m (166)

=====

- Which of these has the highest total magnetization?
  number 1

=====

Please write out number 6 again, unchanged.
# LaPCl2

Crystalline LaPCl2 at its relaxed geometry (PBE, Alexandria via LeMat-Bulk).

Cell: 11.314 11.314 11.314 Å, 18.89 18.89 18.89°
Element x y z (fractional)
La1 0.000 0.000 0.000
Cl1 0.923 0.923 0.923
Cl2 0.077 0.077 0.077
P1 0.500 0.500 0.500

Results
Total magnetization = 0.32 μB/atom
Distance to the lowest polymorph of the same formula = 1.362 eV/atom
Symmetry = R-3m (166)